This record from the Alexandria database describes an optimized crystal structure of La3SnSbBr. The functional is PBE.

a b c (Å): 4.502 7.959 11.844
angles (deg): 102.32 90.00 90.00
Positions (direct):
1 La 0.250 0.715 0.503
2 La 0.750 0.057 0.158
3 La 0.750 0.541 0.169
4 La 0.750 0.285 0.497
5 La 0.250 0.459 0.831
6 La 0.250 0.943 0.842
7 Sn 0.750 0.650 0.689
8 Sn 0.250 0.350 0.311
9 Sb 0.250 0.765 0.064
10 Sb 0.750 0.235 0.936
11 Br 0.250 0.123 0.627
12 Br 0.750 0.877 0.373

The formation energy without anion corrections is -1143.7 meV per atom. The calculation puts the raw total energy at -5.24 eV/atom.

---

This record from the Alexandria database describes an optimized crystal structure of SrLaSbBr. The functional is PBE.

a b c (Å): 5.123 5.123 13.329
angles (deg): 78.92 78.92 60.00
Last column: magnetic moment on the atom in μB.
Positions (direct):
1 Sr 0.609 0.609 0.172  0.01
2 Sr 0.391 0.391 0.828  0.01
3 La 0.804 0.804 0.589  0.26
4 La 0.196 0.196 0.411  0.26
5 Sb 0.107 0.107 0.679  -0.02
6 Sb 0.893 0.893 0.321  -0.02
7 Br 0.696 0.696 0.913  0.00
8 Br 0.304 0.304 0.087  0.00

The formation energy without anion corrections is -1322.8 meV per atom. The calculation puts the raw total energy at -4.42 eV/atom.

---

This record from the Alexandria database describes an optimized crystal structure of LaTc2SbBr. The functional is PBE.

a b c (Å): 4.931 6.438 4.931
angles (deg): 90.00 90.00 90.00
Last column: magnetic moment on the atom in μB.
Positions (direct):
1 Sb 0.000 0.500 0.000  -0.01
2 Tc 0.000 0.000 0.500  1.77
3 Tc 0.500 0.000 0.000  1.85
4 Br 0.500 0.500 0.500  0.05
5 La 0.000 0.000 0.000  -0.04

The formation energy without anion corrections is 1657.0 meV per atom. The calculation puts the raw total energy at -4.63 eV/atom.

---

This record from the Alexandria database describes an optimized crystal structure of La4Sb2TeBr. The functional is PBE.

a b c (Å): 6.441 6.441 7.883
angles (deg): 114.10 114.10 90.04
Positions (direct):
1 La 0.937 0.437 0.000
2 La 0.437 0.937 0.000
3 La 0.185 0.185 0.496
4 La 0.689 0.689 0.504
5 Sb 0.187 0.687 0.500
6 Sb 0.687 0.187 0.500
7 Te 0.937 0.937 0.000
8 Br 0.437 0.437 0.000

The formation energy without anion corrections is -1394.6 meV per atom. The calculation puts the raw total energy at -5.49 eV/atom.

---

This record from the Alexandria database describes an optimized crystal structure of LaSb2TeBr. The functional is PBE.

a b c (Å): 6.204 6.204 5.995
angles (deg): 90.00 90.00 90.00
Positions (direct):
1 Sb 0.000 0.500 0.000
2 Sb 0.500 0.000 0.000
3 Te 0.000 0.000 0.500
4 Br 0.500 0.500 0.500
5 La 0.000 0.000 0.000

The formation energy without anion corrections is 270.4 meV per atom. For the relative energy among the computed polymorphs, the calculation gives 188.6 meV/atom. The calculation puts the raw total energy at -3.33 eV/atom.

---

This record from the Alexandria database describes an optimized crystal structure of La3SbTeBr. The functional is PBE.

a b c (Å): 4.573 9.060 10.167
angles (deg): 100.61 90.00 90.00
Last column: magnetic moment on the atom in μB.
Positions (direct):
1 La 0.750 0.898 0.121  0.02
2 La 0.250 0.102 0.879  0.02
3 La 0.250 0.714 0.487  0.21
4 La 0.750 0.286 0.513  0.21
5 La 0.750 0.410 0.155  0.06
6 La 0.250 0.590 0.845  0.06
7 Sb 0.250 0.657 0.161  0.00
8 Sb 0.750 0.343 0.839  0.00
9 Te 0.250 0.170 0.220  0.00
10 Te 0.750 0.830 0.780  0.00
11 Br 0.250 0.101 0.586  0.01
12 Br 0.750 0.899 0.414  0.01

The formation energy without anion corrections is -1251.0 meV per atom. The calculation puts the raw total energy at -5.20 eV/atom.

---

This record from the Alexandria database describes an optimized crystal structure of LaSb2TeBr. The functional is PBE.

a b c (Å): 5.452 5.452 5.676
angles (deg): 90.00 90.00 90.00
Positions (direct):
1 Sb 0.000 0.500 0.000
2 Sb 0.500 0.000 0.000
3 Te 0.000 0.000 0.500
4 Br 0.000 0.000 0.000
5 La 0.500 0.500 0.500

The formation energy without anion corrections is 81.8 meV per atom. For the relative energy among the computed polymorphs, the calculation gives 0.0 meV/atom. The calculation puts the raw total energy at -3.52 eV/atom.

---

This record from the Alexandria database describes an optimized crystal structure of La6Sb3Te2Br. The functional is PBE.

a b c (Å): 4.590 9.145 10.237
angles (deg): 102.60 102.96 90.00
Positions (direct):
1 La 0.329 0.919 0.658
2 La 0.666 0.588 0.332
3 La 0.671 0.081 0.342
4 La 0.998 0.259 0.996
5 La 0.002 0.741 0.004
6 La 0.334 0.412 0.668
7 Sb 0.500 0.500 0.000
8 Sb 0.835 0.166 0.669
9 Sb 0.165 0.834 0.331
10 Te 0.835 0.669 0.669
11 Te 0.165 0.331 0.331
12 Br 0.500 0.000 0.000

The formation energy without anion corrections is -1427.7 meV per atom. The calculation puts the raw total energy at -5.59 eV/atom.

---

This record from the Alexandria database describes an optimized crystal structure of LaSbW2Br. The functional is PBE.

a b c (Å): 4.671 5.777 4.671
angles (deg): 90.00 90.00 90.00
Positions (direct):
1 Sb 0.000 0.500 0.000
2 Br 0.000 0.000 0.000
3 W 0.000 0.000 0.500
4 W 0.500 0.000 0.000
5 La 0.500 0.500 0.500

The formation energy without anion corrections is 1408.0 meV per atom. The calculation puts the raw total energy at -5.92 eV/atom.

---

This record from the Alexandria database describes an optimized crystal structure of LaZnSbBr2. The functional is PBE.

a b c (Å): 5.819 6.599 5.819
angles (deg): 90.00 90.00 90.00
Last column: magnetic moment on the atom in μB.
Positions (direct):
1 Sb 0.000 0.500 0.000  0.55
2 Zn 0.500 0.500 0.500  0.06
3 Br 0.000 0.000 0.500  0.02
4 Br 0.500 0.000 0.000  0.02
5 La 0.000 0.000 0.000  0.04

The formation energy without anion corrections is -597.4 meV per atom. The calculation puts the raw total energy at -3.33 eV/atom.

---

This record from the Alexandria database describes an optimized crystal structure of LaZnSb2Br. The functional is PBE.

a b c (Å): 6.269 5.813 6.269
angles (deg): 90.00 90.00 90.00
Last column: magnetic moment on the atom in μB.
Positions (direct):
1 Sb 0.000 0.000 0.500  0.30
2 Sb 0.500 0.000 0.000  0.22
3 Zn 0.500 0.500 0.500  0.02
4 Br 0.000 0.500 0.000  0.06
5 La 0.000 0.000 0.000  0.05

The formation energy without anion corrections is 82.8 meV per atom. The calculation puts the raw total energy at -3.14 eV/atom.

---

This record from the Alexandria database describes an optimized crystal structure of La2ScBr. The functional is PBE.

a b c (Å): 8.953 8.953 7.115
angles (deg): 51.01 51.01 90.00
Positions (direct):
1 Sc 0.500 0.500 0.000
2 Sc 0.250 0.750 0.500
3 Br 0.000 0.000 0.000
4 Br 0.750 0.250 0.500
5 La 0.676 0.125 0.250
6 La 0.074 0.625 0.250
7 La 0.375 0.324 0.750
8 La 0.875 0.926 0.750

The formation energy without anion corrections is -192.2 meV per atom. For the relative energy among the computed polymorphs, the calculation gives 319.1 meV/atom. The calculation puts the raw total energy at -4.66 eV/atom.